[1]
The following is a DFT calculation (PBE) of an optimized crystal structure of Sr2Al4GePt3.

Lattice parameters (Å, degrees): 4.4106 4.4106 10.4797 90.00 90.00 90.00
With the nearest neighbours (Å) after each atom.
Atoms (fractional coordinates):
Sr: 0.0000 0.5000 0.7457  8 Al 3.34-3.46, 2 Ge 3.39, 6 Pt 3.39-3.40
Pt: 0.5000 0.0000 0.8750  5 Al 2.54-2.57
Pt: 0.0000 0.0000 0.5000  4 Al 2.60
Al: 0.0000 0.5000 0.3678  3 Pt 2.54-2.60, 2 Ge 2.60
Al: 0.0000 0.0000 0.0000  4 Pt 2.57
Al: 0.5000 0.5000 0.0000  4 Pt 2.57
Al: 0.5000 0.0000 0.6322  3 Pt 2.54-2.60, 2 Ge 2.60
Ge: 0.5000 0.5000 0.5000  4 Al 2.60
Pt: 0.0000 0.5000 0.1250  5 Al 2.54-2.57
Sr: 0.5000 0.0000 0.2543  8 Al 3.34-3.46, 2 Ge 3.39, 6 Pt 3.39-3.40

Output
Volume, Å³/atom: 20.39
Crystal system: tetragonal
Total energy, eV per formula unit: -49.6
E_form, meV/atom: -855

[2]
The following is a DFT calculation (PBE) of an optimized crystal structure of SrAlGePt3.

Lattice parameters (Å, degrees): 5.7309 6.9480 7.5344 117.46 90.00 90.00
With the nearest neighbours (Å) after each atom.
Atoms (fractional coordinates):
Pt: 0.7500 0.7868 0.5736  1 Ge 2.40, 1 Al 2.47
Sr: 0.2500 0.7303 0.4607  2 Pt 2.96, 2 Ge 3.30
Sr: 0.7500 0.2697 0.5393  2 Pt 2.96, 2 Ge 3.30
Ge: 0.2500 0.3926 0.7852  5 Pt 2.40-2.50
Pt: 0.5000 0.7115 0.0000  2 Al 2.49, 2 Ge 2.50
Pt: 0.0000 0.7115 0.0000  2 Al 2.49, 2 Ge 2.50
Pt: 0.0000 0.2885 0.0000  2 Al 2.49, 2 Ge 2.50
Al: 0.2500 0.0289 0.0577  5 Pt 2.47-2.49
Pt: 0.2500 0.2132 0.4264  1 Ge 2.40, 1 Al 2.47
Ge: 0.7500 0.6074 0.2148  5 Pt 2.40-2.50
Pt: 0.5000 0.2885 0.0000  2 Al 2.49, 2 Ge 2.50
Al: 0.7500 0.9711 0.9423  5 Pt 2.47-2.49

Output
Volume, Å³/atom: 22.18
Crystal system: orthorhombic
Total energy, eV per formula unit: -32.4
E_form, meV/atom: -714

[3]
The following is a DFT calculation (PBE) of an optimized crystal structure of Sr2Al3GePt4.

Lattice parameters (Å, degrees): 4.4742 4.4742 10.0183 90.00 90.00 90.00
With the nearest neighbours (Å) after each atom.
Atoms (fractional coordinates):
Pt: 0.0000 0.0000 0.0000  4 Al 2.55
Al: 0.0000 0.0000 0.5000  4 Pt 2.57
Al: 0.5000 0.0000 0.8784  5 Pt 2.53-2.55
Pt: 0.5000 0.0000 0.6264  3 Al 2.53-2.57, 2 Ge 2.57
Ge: 0.5000 0.5000 0.5000  4 Pt 2.57
Sr: 0.0000 0.5000 0.7521  8 Pt 3.34-3.41, 2 Ge 3.37, 7 Al 3.37-3.70
Sr: 0.5000 0.0000 0.2479  8 Pt 3.34-3.41, 2 Ge 3.37, 7 Al 3.37-3.70
Pt: 0.0000 0.5000 0.3736  3 Al 2.53-2.57, 2 Ge 2.57
Al: 0.0000 0.5000 0.1216  5 Pt 2.53-2.55
Pt: 0.5000 0.5000 0.0000  4 Al 2.55

Output
Volume, Å³/atom: 20.06
Crystal system: tetragonal
Total energy, eV per formula unit: -53.0
E_form, meV/atom: -959

[4]
The following is a DFT calculation (PBE) of an optimized crystal structure of Sr2AlGePt6.

Lattice parameters (Å, degrees): 6.7649 6.8462 5.6066 65.82 65.44 84.57
With the nearest neighbours (Å) after each atom.
Atoms (fractional coordinates):
Pt: 0.2340 0.2715 0.9942  1 Ge 2.51, 1 Al 2.54, 3 Pt 2.70-2.77
Ge: 0.5000 0.5000 0.0000  6 Pt 2.51-2.54
Pt: 0.8841 0.3804 0.8681  1 Ge 2.54, 1 Al 2.54, 4 Pt 2.70-2.75
Sr: 0.7057 0.1981 0.5482  9 Pt 3.18-3.54
Al: 0.0000 0.0000 0.0000  6 Pt 2.53-2.54
Pt: 0.7661 0.7282 0.5000  1 Ge 2.51, 1 Al 2.53, 3 Pt 2.70-2.77
Pt: 0.7660 0.7285 0.0058  1 Ge 2.51, 1 Al 2.54, 3 Pt 2.70-2.77
Sr: 0.2943 0.8019 0.4518  9 Pt 3.18-3.54
Pt: 0.2339 0.2718 0.5000  1 Ge 2.51, 1 Al 2.53, 3 Pt 2.70-2.77
Pt: 0.1159 0.6196 0.1319  1 Ge 2.54, 1 Al 2.54, 4 Pt 2.70-2.75

Output
Volume, Å³/atom: 21.45
Crystal system: triclinic
Total energy, eV per formula unit: -55.4
E_form, meV/atom: -740

[5]
The following is a DFT calculation (PBE) of an optimized crystal structure of Sr2AlGe4Pt3.

Lattice parameters (Å, degrees): 4.3467 4.3467 10.7383 90.00 90.00 90.00
With the nearest neighbours (Å) after each atom.
Atoms (fractional coordinates):
Ge: 0.5000 0.0000 0.6400  3 Pt 2.54-2.64, 2 Al 2.64
Ge: 0.0000 0.0000 0.0000  4 Pt 2.54
Sr: 0.0000 0.5000 0.7526  8 Ge 3.30-3.43, 6 Pt 3.35-3.48, 2 Al 3.48
Ge: 0.0000 0.5000 0.3600  3 Pt 2.54-2.64, 2 Al 2.64
Pt: 0.5000 0.0000 0.8768  5 Ge 2.54
Pt: 0.0000 0.5000 0.1232  5 Ge 2.54
Sr: 0.5000 0.0000 0.2474  8 Ge 3.30-3.43, 6 Pt 3.35-3.48, 2 Al 3.48
Al: 0.5000 0.5000 0.5000  4 Ge 2.64
Ge: 0.5000 0.5000 0.0000  4 Pt 2.54
Pt: 0.0000 0.0000 0.5000  4 Ge 2.64

Output
Volume, Å³/atom: 20.29
Crystal system: tetragonal
Total energy, eV per formula unit: -51.0
E_form, meV/atom: -732

[6]
The following is a DFT calculation (PBE) of an optimized crystal structure of Tb2AlGe4Pt3.

Lattice parameters (Å, degrees): 4.0750 4.0750 11.2661 90.00 90.00 90.00
With the nearest neighbours (Å) after each atom.
Atoms (fractional coordinates):
Ge: 0.0000 0.0000 0.0000  4 Pt 2.58, 4 Ge 2.88
Ge: 0.5000 0.0000 0.6434  3 Pt 2.44-2.60, 2 Al 2.60
Al: 0.5000 0.5000 0.5000  4 Ge 2.60, 4 Pt 2.88
Pt: 0.0000 0.0000 0.5000  4 Ge 2.60, 4 Al 2.88
Pt: 0.5000 0.0000 0.8601  5 Ge 2.44-2.58
Pt: 0.0000 0.5000 0.1399  5 Ge 2.44-2.58
Ge: 0.5000 0.5000 0.0000  4 Pt 2.58, 4 Ge 2.88
Ge: 0.0000 0.5000 0.3566  3 Pt 2.44-2.60, 2 Al 2.60
Tb: 0.0000 0.5000 0.7453  4 Ge 3.10, 6 Pt 3.16-3.43, 2 Al 3.43
Tb: 0.5000 0.0000 0.2547  4 Ge 3.10, 6 Pt 3.16-3.43, 2 Al 3.43

Output
Volume, Å³/atom: 18.71
Crystal system: tetragonal
Total energy, eV per formula unit: -58.0
E_form, meV/atom: -837

[7]
The following is a DFT calculation (PBE) of an optimized crystal structure of Tb2Al4GePt3.

Lattice parameters (Å, degrees): 4.2618 4.2618 10.3889 90.00 90.00 90.00
With the nearest neighbours (Å) after each atom.
Atoms (fractional coordinates):
Pt: 0.0000 0.5000 0.1304  5 Al 2.42-2.53
Pt: 0.0000 0.0000 0.5000  4 Al 2.56
Al: 0.5000 0.0000 0.6369  3 Pt 2.42-2.56, 2 Ge 2.56
Tb: 0.5000 0.0000 0.2502  8 Al 3.23-3.36, 6 Pt 3.26-3.36, 2 Ge 3.36
Al: 0.0000 0.0000 0.0000  4 Pt 2.53
Tb: 0.0000 0.5000 0.7498  8 Al 3.23-3.36, 6 Pt 3.26-3.36, 2 Ge 3.36
Pt: 0.5000 0.0000 0.8696  5 Al 2.42-2.53
Al: 0.0000 0.5000 0.3631  3 Pt 2.42-2.56, 2 Ge 2.56
Al: 0.5000 0.5000 0.0000  4 Pt 2.53
Ge: 0.5000 0.5000 0.5000  4 Al 2.56

Output
Volume, Å³/atom: 18.87
Crystal system: tetragonal
Total energy, eV per formula unit: -56.7
E_form, meV/atom: -970

[8]
The following is a DFT calculation (PBE) of an optimized crystal structure of Tb2Al3GePt4.

Lattice parameters (Å, degrees): 4.1690 4.1690 10.6561 90.00 90.00 90.00
With the nearest neighbours (Å) after each atom.
Atoms (fractional coordinates):
Pt: 0.5000 0.5000 0.0000  4 Al 2.52
Al: 0.0000 0.5000 0.1326  5 Pt 2.45-2.52
Ge: 0.5000 0.5000 0.5000  4 Pt 2.55
Al: 0.5000 0.0000 0.8674  5 Pt 2.45-2.52
Al: 0.0000 0.0000 0.5000  4 Pt 2.55
Tb: 0.5000 0.0000 0.2566  8 Pt 3.16-3.44, 6 Al 3.23-3.33, 2 Ge 3.33
Pt: 0.5000 0.0000 0.6377  3 Al 2.45-2.55, 2 Ge 2.55
Pt: 0.0000 0.5000 0.3623  3 Al 2.45-2.55, 2 Ge 2.55
Pt: 0.0000 0.0000 0.0000  4 Al 2.52
Tb: 0.0000 0.5000 0.7434  8 Pt 3.16-3.44, 6 Al 3.23-3.33, 2 Ge 3.33

Output
Volume, Å³/atom: 18.52
Crystal system: tetragonal
Total energy, eV per formula unit: -60.1
E_form, meV/atom: -1079

[9]
The following is a DFT calculation (PBE) of an optimized crystal structure of AlTcGePt.

Lattice parameters (Å, degrees): 4.3458 4.3458 4.3458 60.00 60.00 60.00
With the nearest neighbours (Å) after each atom.
Atoms (fractional coordinates):
Tc: 0.2500 0.2500 0.2500  4 Ge 2.66, 4 Al 2.66
Ge: 0.5000 0.5000 0.5000  4 Tc 2.66, 4 Pt 2.66
Pt: 0.7500 0.7500 0.7500  4 Ge 2.66, 4 Al 2.66
Al: 0.0000 0.0000 0.0000  4 Tc 2.66, 4 Pt 2.66

Output
Volume, Å³/atom: 14.51
Crystal system: cubic
Total energy, eV per formula unit: -26.4
E_form, meV/atom: -401